Density functional theory data (PBE) for a relaxed structure of MnTlAg2.

a b c (Å): 4.892 3.044 5.215
angles (deg): 85.70 90.00 90.00
Site moments in Bohr magnetons follow the coordinates.
Element x y z (fractional)
Tl (0.500, 0.750, 0.750)  -0.05
Mn (0.500, 0.250, 0.250)  3.87
Ag (0.000, 0.009, 0.016)  0.01
Ag (0.000, 0.491, 0.484)  0.01

Energy of formation, eV/atom: 0.31
Calculated volume, Å³ per cell: 77.4
Polymorph energy (0 for the lowest one), meV/atom: 63
Space group: P2/m, No. 10



Density functional theory data (PBE) for a relaxed structure of BaCd2Cl6.

a b c (Å): 5.260 7.515 8.953
angles (deg): 106.08 90.00 110.49
Element x y z (fractional)
Cd (0.773, 0.546, 0.839)
Cd (0.227, 0.454, 0.161)
Cl (0.778, 0.556, 0.132)
Cl (0.222, 0.444, 0.868)
Cl (0.064, 0.127, 0.204)
Cl (0.366, 0.733, 0.416)
Cl (0.634, 0.267, 0.584)
Cl (0.936, 0.873, 0.796)
Ba (0.000, 0.000, 0.500)

Uncorrected formation energy, kcal/mol of atoms: -34.99
Calculated volume, Å³ per cell: 316.7
Polymorph energy (0 for the lowest one), meV/atom: 40
Space group: C2/m, No. 12



Density functional theory data (PBE) for a relaxed structure of RbAgTe2N.

a b c (Å): 6.630 6.630 5.236
angles (deg): 90.00 90.00 90.00
Site moments in Bohr magnetons follow the coordinates.
Element x y z (fractional)
Ag (0.500, 0.500, 0.500)  -0.02
Te (0.500, 0.000, 0.000)  0.62
Te (0.000, 0.500, 0.000)  0.62
Rb (0.000, 0.000, 0.000)  0.08
N (0.000, 0.000, 0.500)  1.75

Uncorrected formation energy, kcal/mol of atoms: 36.81
Calculated volume, Å³ per cell: 230.2
Polymorph energy (0 for the lowest one), meV/atom: 964
Space group: P4/mmm, No. 123



Density functional theory data (PBE) for a relaxed structure of Ir4Ru3.

a b c (Å): 4.972 4.972 4.880
angles (deg): 90.00 90.00 120.00
Element x y z (fractional)
Ir (0.000, 0.000, 0.743)
Ir (0.333, 0.667, 0.500)
Ir (0.667, 0.333, 0.500)
Ir (0.000, 0.000, 0.257)
Ru (0.500, 0.000, 0.000)
Ru (0.000, 0.500, 0.000)
Ru (0.500, 0.500, 0.000)

Energy of formation, eV/atom: 0.49
Calculated volume, Å³ per cell: 104.5
Polymorph energy (0 for the lowest one), meV/atom: 100
Space group: P6/mmm, No. 191